{"formula": "K2HgP2Se6", "functional": "GGA-PBE", "state": "relaxed", "total_energy_ev_per_atom": -3.64, "e_form_raw_ev_per_atom": -0.533, "mass_density_g_cm3": 3.99, "space_group": "P2_1/c", "lattice_angstrom": [[7.419, 0.000, 0.000], [0.000, 13.286, 0.091], [0.000, 5.176, 13.796]], "species": ["K", "K", "K", "K", "K", "K", "K", "K", "Hg", "Hg", "Hg", "Hg", "P", "P", "P", "P", "P", "P", "P", "P", "Se", "Se", "Se", "Se", "Se", "Se", "Se", "Se", "Se", "Se", "Se", "Se", "Se", "Se", "Se", "Se", "Se", "Se", "Se", "Se", "Se", "Se", "Se", "Se"], "fractional_positions": [[0.552, 0.404, 0.217], [0.955, 0.090, 0.622], [0.948, 0.404, 0.717], [0.045, 0.910, 0.378], [0.052, 0.596, 0.283], [0.448, 0.596, 0.783], [0.455, 0.910, 0.878], [0.545, 0.090, 0.122], [0.613, 0.742, 0.521], [0.887, 0.742, 0.021], [0.387, 0.258, 0.479], [0.113, 0.258, 0.979], [0.039, 0.959, 0.082], [0.611, 0.519, 0.440], [0.111, 0.481, 0.060], [0.389, 0.481, 0.560], [0.961, 0.041, 0.918], [0.461, 0.959, 0.582], [0.539, 0.041, 0.418], [0.889, 0.519, 0.940], [0.166, 0.402, 0.505], [0.007, 0.382, 0.200], [0.987, 0.913, 0.855], [0.013, 0.087, 0.145], [0.718, 0.359, 0.446], [0.197, 0.885, 0.600], [0.834, 0.598, 0.495], [0.815, 0.841, 0.147], [0.803, 0.115, 0.400], [0.993, 0.618, 0.800], [0.334, 0.402, 0.005], [0.303, 0.885, 0.100], [0.685, 0.841, 0.647], [0.315, 0.159, 0.353], [0.666, 0.598, 0.995], [0.507, 0.618, 0.300], [0.487, 0.087, 0.645], [0.493, 0.382, 0.700], [0.185, 0.159, 0.853], [0.513, 0.913, 0.355], [0.218, 0.641, 0.054], [0.282, 0.641, 0.554], [0.697, 0.115, 0.900], [0.782, 0.359, 0.946]]}


{"formula": "KSb2PO8", "functional": "GGA-PBE", "state": "relaxed", "dos_ef_per_ev_cell": 0.0, "total_energy_ev_per_atom": -6.29, "e_form_raw_ev_per_atom": -1.756, "mass_density_g_cm3": 4.29, "space_group": "C2/c", "lattice_angstrom": [[-2.320, 6.392, 2.333], [-2.100, -6.036, 3.372], [12.832, 1.708, 8.077]], "species": ["K", "K", "K", "K", "Sb", "Sb", "Sb", "Sb", "Sb", "Sb", "Sb", "Sb", "P", "P", "P", "P", "O", "O", "O", "O", "O", "O", "O", "O", "O", "O", "O", "O", "O", "O", "O", "O", "O", "O", "O", "O", "O", "O", "O", "O", "O", "O", "O", "O", "O", "O", "O", "O"], "fractional_positions": [[0.851, 0.944, 0.116], [0.093, 0.944, 0.616], [0.149, 0.056, 0.884], [0.907, 0.056, 0.384], [0.379, 0.503, 0.247], [0.809, 0.354, 0.937], [0.545, 0.354, 0.437], [0.621, 0.497, 0.753], [0.191, 0.646, 0.063], [0.125, 0.503, 0.747], [0.875, 0.497, 0.253], [0.455, 0.646, 0.563], [0.286, 0.799, 0.394], [0.488, 0.201, 0.106], [0.512, 0.799, 0.894], [0.714, 0.201, 0.606], [0.594, 0.348, 0.032], [0.745, 0.331, 0.355], [0.327, 0.256, 0.153], [0.673, 0.744, 0.847], [0.018, 0.679, 0.158], [0.439, 0.778, 0.327], [0.999, 0.667, 0.972], [0.339, 0.778, 0.827], [0.561, 0.222, 0.673], [0.754, 0.348, 0.532], [0.071, 0.744, 0.347], [0.939, 0.635, 0.754], [0.982, 0.321, 0.842], [0.661, 0.222, 0.173], [0.001, 0.333, 0.028], [0.695, 0.635, 0.254], [0.619, 0.970, 0.563], [0.332, 0.333, 0.528], [0.668, 0.667, 0.472], [0.648, 0.030, 0.937], [0.305, 0.365, 0.746], [0.340, 0.321, 0.342], [0.255, 0.669, 0.645], [0.352, 0.970, 0.063], [0.406, 0.652, 0.968], [0.660, 0.679, 0.658], [0.246, 0.652, 0.468], [0.381, 0.030, 0.437], [0.414, 0.669, 0.145], [0.929, 0.256, 0.653], [0.061, 0.365, 0.246], [0.586, 0.331, 0.855]]}


{"formula": "La2HBr", "functional": "GGA-PBE", "state": "relaxed", "dos_ef_per_ev_cell": 6.2, "de_polymorph_mev_per_atom": 164.9, "total_energy_ev_per_atom": -4.41, "mass_density_g_cm3": 6.07, "space_group": "I-42d", "lattice_angstrom": [[-7.173, -0.789, 0.888], [1.150, -3.246, 6.404], [-3.164, 1.282, 5.346]], "species": ["H", "H", "Br", "Br", "La", "La", "La", "La"], "fractional_positions": [[0.500, 0.500, 0.000], [0.250, 0.750, 0.500], [0.000, 0.000, 0.000], [0.750, 0.250, 0.500], [0.537, 0.125, 0.250], [0.213, 0.625, 0.250], [0.375, 0.463, 0.750], [0.875, 0.787, 0.750]]}


{"formula": "Y2ErPbC", "functional": "GGA-PBE", "state": "relaxed", "formation_energy_ev_per_fu": -2.83, "dos_ef_per_ev_cell": 2.3, "total_energy_ev_per_atom": -6.65, "mass_density_g_cm3": 7.92, "space_group": "P4/mmm", "lattice_angstrom": [[4.873, 0.000, 0.000], [0.000, 4.926, 0.000], [0.000, 0.000, 4.926]], "species": ["Y", "Y", "Er", "Pb", "C"], "fractional_positions": [[0.000, 0.000, 0.500], [0.000, 0.500, 0.000], [0.500, 0.000, 0.000], [0.500, 0.500, 0.500], [0.000, 0.000, 0.000]]}


{"formula": "ReAg2W", "functional": "GGA-PBE", "state": "relaxed", "formation_energy_ev_per_fu": 2.45, "dos_ef_per_ev_cell": 2.2, "de_polymorph_mev_per_atom": 255.3, "total_energy_ev_per_atom": -7.16, "mass_density_g_cm3": 14.77, "space_group": "Cm", "lattice_angstrom": [[-1.590, -1.627, 4.316], [1.014, -2.170, 4.250], [1.004, 4.498, 2.608]], "species": ["Re", "Ag", "Ag", "W"], "fractional_positions": [[0.504, 0.504, 0.524], [0.999, 0.999, 0.015], [0.249, 0.249, 0.234], [0.748, 0.748, 0.727]]}


{"formula": "Ca2TmNpO6", "functional": "GGA-PBE", "state": "relaxed", "dos_ef_per_ev_cell": 3.7, "total_energy_ev_per_atom": -8.11, "e_form_raw_ev_per_atom": -2.995, "mass_density_g_cm3": 6.09, "space_group": "P4mm", "lattice_angstrom": [[4.431, 0.000, 0.000], [0.000, 5.987, 0.000], [0.000, 0.000, 5.987]], "species": ["Ca", "Ca", "Tm", "Np", "O", "O", "O", "O", "O", "O"], "fractional_positions": [[0.005, 0.500, 0.000], [0.005, 0.000, 0.500], [0.624, 0.500, 0.500], [0.652, 0.000, 0.000], [0.714, 0.244, 0.244], [0.714, 0.244, 0.756], [0.147, 0.500, 0.500], [0.159, 0.000, 0.000], [0.714, 0.756, 0.756], [0.714, 0.756, 0.244]]}


{"formula": "Mg12Hg3N5", "functional": "GGA-PBE", "state": "relaxed", "dos_ef_per_ev_cell": 25.3, "total_energy_ev_per_atom": -3.43, "e_form_raw_ev_per_atom": -0.342, "mass_density_g_cm3": 4.58, "space_group": "Ia-3d", "lattice_angstrom": [[12.200, 0.000, 0.000], [-4.067, 11.502, 0.000], [-4.067, -5.751, 9.961]], "species": ["Hg", "Hg", "Hg", "Hg", "Hg", "Hg", "Hg", "Hg", "Hg", "Hg", "Hg", "Hg", "N", "N", "N", "N", "N", "N", "N", "N", "N", "N", "N", "N", "N", "N", "N", "N", "N", "N", "N", "N", "Mg", "Mg", "Mg", "Mg", "Mg", "Mg", "Mg", "Mg", "Mg", "Mg", "Mg", "Mg", "Mg", "Mg", "Mg", "Mg", "Mg", "Mg", "Mg", "Mg", "Mg", "Mg", "Mg", "Mg", "Mg", "Mg", "Mg", "Mg", "Mg", "Mg", "Mg", "Mg", "Mg", "Mg", "Mg", "Mg", "Mg", "Mg", "Mg", "Mg", "Mg", "Mg", "Mg", "Mg", "Mg", "Mg", "Mg", "Mg"], "fractional_positions": [[0.750, 0.375, 0.125], [0.875, 0.750, 0.125], [0.375, 0.750, 0.625], [0.250, 0.125, 0.375], [0.875, 0.125, 0.250], [0.375, 0.625, 0.250], [0.625, 0.375, 0.750], [0.125, 0.875, 0.750], [0.750, 0.875, 0.625], [0.625, 0.250, 0.375], [0.125, 0.250, 0.875], [0.250, 0.625, 0.875], [0.125, 0.375, 0.250], [0.000, 0.500, 0.000], [0.000, 0.000, 0.000], [0.375, 0.250, 0.125], [0.500, 0.000, 0.500], [0.500, 0.500, 0.000], [0.125, 0.750, 0.375], [0.750, 0.125, 0.875], [0.750, 0.625, 0.375], [0.375, 0.125, 0.750], [0.625, 0.875, 0.250], [0.500, 0.500, 0.500], [0.500, 0.000, 0.000], [0.000, 0.000, 0.500], [0.250, 0.375, 0.625], [0.250, 0.875, 0.125], [0.000, 0.500, 0.500], [0.875, 0.250, 0.625], [0.625, 0.750, 0.875], [0.875, 0.625, 0.750], [0.693, 0.104, 0.009], [0.317, 0.509, 0.405], [0.991, 0.396, 0.307], [0.509, 0.193, 0.104], [0.589, 0.693, 0.683], [0.991, 0.595, 0.183], [0.317, 0.807, 0.411], [0.095, 0.911, 0.104], [0.595, 0.991, 0.683], [0.693, 0.589, 0.183], [0.807, 0.491, 0.396], [0.817, 0.905, 0.009], [0.104, 0.693, 0.509], [0.396, 0.405, 0.089], [0.089, 0.905, 0.396], [0.411, 0.104, 0.595], [0.089, 0.183, 0.193], [0.491, 0.683, 0.095], [0.817, 0.911, 0.307], [0.104, 0.411, 0.095], [0.396, 0.991, 0.807], [0.595, 0.604, 0.411], [0.905, 0.817, 0.509], [0.807, 0.317, 0.911], [0.405, 0.396, 0.589], [0.095, 0.183, 0.491], [0.193, 0.683, 0.089], [0.183, 0.089, 0.693], [0.604, 0.009, 0.193], [0.896, 0.589, 0.905], [0.509, 0.317, 0.905], [0.589, 0.896, 0.405], [0.911, 0.817, 0.807], [0.911, 0.095, 0.604], [0.896, 0.307, 0.491], [0.183, 0.095, 0.991], [0.604, 0.595, 0.911], [0.405, 0.009, 0.317], [0.307, 0.411, 0.817], [0.193, 0.509, 0.604], [0.905, 0.089, 0.896], [0.683, 0.193, 0.589], [0.491, 0.807, 0.896], [0.009, 0.405, 0.817], [0.411, 0.307, 0.317], [0.009, 0.604, 0.693], [0.683, 0.491, 0.595], [0.307, 0.896, 0.991]]}


{"formula": "KMgBe2", "functional": "GGA-PBE", "state": "relaxed", "formation_energy_ev_per_fu": 2.68, "dos_ef_per_ev_cell": 2.6, "total_energy_ev_per_atom": -1.87, "mass_density_g_cm3": 1.56, "space_group": "P2/m", "lattice_angstrom": [[4.118, 0.000, 0.000], [0.000, 2.859, -0.004], [0.000, 3.002, 7.353]], "species": ["Be", "Be", "K", "Mg"], "fractional_positions": [[0.000, 0.102, 0.894], [0.000, 0.398, 0.606], [0.500, 0.250, 0.250], [0.500, 0.750, 0.750]]}


{"formula": "Y3PbO", "functional": "GGA-PBE", "state": "relaxed", "dos_ef_per_ev_cell": 9.4, "total_energy_ev_per_atom": -6.90, "e_form_raw_ev_per_atom": -1.285, "mass_density_g_cm3": 6.49, "space_group": "P2_1/m", "lattice_angstrom": [[3.476, 0.000, 0.508], [0.000, 8.463, 0.000], [-1.240, 0.000, 8.334]], "species": ["Pb", "Pb", "Y", "Y", "Y", "Y", "Y", "Y", "O", "O"], "fractional_positions": [[0.249, 0.250, 0.362], [0.751, 0.750, 0.638], [0.253, 0.063, 0.703], [0.747, 0.937, 0.297], [0.253, 0.437, 0.703], [0.747, 0.563, 0.297], [0.755, 0.250, 0.016], [0.245, 0.750, 0.984], [0.753, 0.250, 0.748], [0.247, 0.750, 0.252]]}


{"formula": "LiCu4Pd5", "functional": "GGA-PBE", "state": "relaxed", "formation_energy_ev_per_fu": -1.79, "dos_ef_per_ev_cell": 8.6, "total_energy_ev_per_atom": -4.60, "mass_density_g_cm3": 9.63, "space_group": "P4/mmm", "lattice_angstrom": [[-2.047, 0.229, -2.198], [1.931, -1.274, -1.930], [-5.384, -13.608, 3.596]], "species": ["Li", "Cu", "Cu", "Cu", "Cu", "Pd", "Pd", "Pd", "Pd", "Pd"], "fractional_positions": [[0.000, 0.000, 0.000], [0.000, 0.000, 0.198], [0.000, 0.000, 0.399], [0.000, 0.000, 0.601], [0.000, 0.000, 0.802], [0.500, 0.500, 0.097], [0.500, 0.500, 0.299], [0.500, 0.500, 0.500], [0.500, 0.500, 0.701], [0.500, 0.500, 0.903]]}


{"formula": "YVSn2Os", "functional": "GGA-PBE", "state": "relaxed", "formation_energy_ev_per_fu": 2.04, "dos_ef_per_ev_cell": 4.5, "de_polymorph_mev_per_atom": 0.0, "total_energy_ev_per_atom": -6.55, "mass_density_g_cm3": 7.46, "space_group": "P4/mmm", "lattice_angstrom": [[-1.590, -4.009, 2.770], [3.818, 0.478, 2.883], [-2.680, 3.153, 3.025]], "species": ["Y", "Os", "Sn", "Sn", "V"], "fractional_positions": [[0.500, 0.500, 0.500], [0.000, 0.000, 0.000], [0.000, 0.000, 0.500], [0.500, 0.000, 0.000], [0.000, 0.500, 0.000]]}